Crystalline KCuAs2Rh at its relaxed geometry, computed with PBE-GGA.

Computed properties:
Calculated density ... 5.374 Mg/m³
Energy relative to the elements ... 475 meV/atom

```
KCuAs2Rh
1.0
4.723 0.000 0.000
0.000 4.723 0.000
0.000 0.000 4.923
K Cu As Rh
1 1 2 1
Cartesian
0.000 0.000 0.000
2.361 2.361 2.462
0.000 2.361 2.462
2.361 0.000 2.462
2.361 2.361 0.000
```

***

Crystalline K2CuAsS4 at its relaxed geometry, computed with PBE-GGA.

Computed properties:
Calculated density ... 2.559 Mg/m³
Formation energy (no corrections) ... -0.570 eV per atom

```
K2CuAsS4
1.0
0.000 6.503 11.666
2.951 0.000 11.666
2.951 6.503 0.000
K Cu As S
4 2 2 8
Cartesian
2.213 4.877 1.331
3.688 8.129 7.164
2.213 4.877 16.167
3.688 8.129 22.000
0.738 1.626 2.916
5.164 11.380 20.415
2.213 4.877 8.749
3.688 8.129 14.582
2.350 2.902 4.110
3.551 6.154 9.943
2.076 6.852 4.110
2.076 2.902 13.389
3.825 10.103 9.943
3.825 6.154 19.221
2.350 6.852 13.389
3.551 10.103 19.221
```

***

Crystalline K2Cu2AsS4 at its relaxed geometry, computed with PBE-GGA.

Computed properties:
Calculated density ... 3.538 Mg/m³
Formation energy (no corrections) ... -0.533 eV per atom

```
K2Cu2AsS4
1.0
7.183 -1.900 0.000
7.183 1.900 0.000
-2.583 0.000 7.025
K Cu As S
2 2 1 4
Cartesian
1.768 0.000 0.363
10.015 0.000 6.662
3.156 0.000 3.607
8.628 0.000 3.418
-1.291 0.000 3.513
1.055 0.000 4.717
5.010 0.000 5.060
6.774 0.000 1.965
10.728 0.000 2.308
```

***

Which formula does entry 2 have? K2CuAsS4